GGA-PBE NaC, relaxed; calculated density = 865 kg/m3; formation enthalpy at 0 K = 5.08 eV per formula unit; total magnetic moment = 18.00 Bohr magnetons per cell; offset from the most stable computed form = 4.62 eV per formula unit
1.0
7.387 0.000 0.000
0.000 7.387 0.000
0.000 0.000 7.387
Na C
6 6
Direct
0.000 0.250 0.500 Na
0.000 0.750 0.500 Na
0.250 0.500 0.000 Na
0.500 0.000 0.250 Na
0.500 0.000 0.750 Na
0.750 0.500 0.000 Na
0.000 0.500 0.250 C
0.000 0.500 0.750 C
0.250 0.000 0.500 C
0.500 0.250 0.000 C
0.500 0.750 0.000 C
0.750 0.000 0.500 C


GGA-PBE SmDy6Y3Th2, relaxed; calculated density = 8016 kg/m3; formation enthalpy at 0 K = 0.35 eV per formula unit; total magnetic moment = 0.00 Bohr magnetons per cell
1.0
3.093 -5.353 0.000
3.093 5.353 0.000
-2.065 0.000 11.612
Sm Dy Y Th
1 6 3 2
Direct
0.000 0.000 0.000 Sm
0.083 0.421 0.248 Dy
0.255 0.255 0.752 Dy
0.421 0.083 0.248 Dy
0.579 0.917 0.752 Dy
0.745 0.745 0.248 Dy
0.917 0.579 0.752 Dy
0.166 0.834 0.500 Y
0.500 0.500 0.500 Y
0.834 0.166 0.500 Y
0.333 0.667 0.000 Th
0.667 0.333 0.000 Th


GGA-PBE NbCo2HAu, relaxed; calculated density = 11588 kg/m3; total magnetic moment = 0.74 Bohr magnetons per cell; electronic total energy = -30.67 eV per formula unit
1.0
3.913 0.000 0.000
0.000 3.913 0.000
0.000 0.000 3.826
Nb Co H Au
1 2 1 1
Direct
0.000 0.000 0.000 Nb
0.000 0.500 0.500 Co
0.500 0.000 0.500 Co
0.000 0.000 0.500 H
0.500 0.500 0.000 Au


GGA-PBE Tc2SbCl, relaxed; formation energy from raw total energies = -0.08 eV per atom; calculated density = 6895 kg/m3; total magnetic moment = 0.00 Bohr magnetons per cell; offset from the most stable computed form = 0.04 eV per formula unit
1.0
3.076 0.000 0.000
-1.531 4.966 0.000
-1.521 -0.916 11.137
Tc Sb Cl
4 2 2
Direct
0.000 0.000 0.000 Tc
0.001 0.222 0.776 Tc
0.419 0.700 0.142 Tc
0.699 0.436 0.962 Tc
0.296 0.778 0.809 Sb
0.718 0.245 0.193 Sb
0.439 0.261 0.611 Cl
0.549 0.748 0.357 Cl


GGA-PBE AgW4Au, relaxed; calculated density = 16320 kg/m3; formation enthalpy at 0 K = 4.36 eV per formula unit; total magnetic moment = 0.00 Bohr magnetons per cell
1.0
0.000 3.754 3.754
3.754 0.000 3.754
3.754 3.754 0.000
Ag W Au
1 4 1
Direct
0.000 0.000 0.000 Ag
0.375 0.375 0.375 W
0.375 0.375 0.876 W
0.375 0.876 0.375 W
0.876 0.375 0.375 W
0.750 0.750 0.750 Au


GGA-PBE YZrV, relaxed; calculated density = 5537 kg/m3; formation enthalpy at 0 K = 0.76 eV per formula unit; total magnetic moment = 0.01 Bohr magnetons per cell; offset from the most stable computed form = 0.21 eV per formula unit
1.0
6.185 -1.720 0.000
6.185 1.720 0.000
-5.123 0.000 6.513
Y Zr V
2 2 2
Direct
0.000 0.000 0.000 Y
0.219 0.219 0.558 Y
0.547 0.547 0.689 Zr
0.801 0.801 0.294 Zr
0.270 0.270 0.989 V
0.469 0.469 0.281 V


GGA-PBE BaSi2Ru, relaxed; formation energy from raw total energies = 0.01 eV per atom; calculated density = 4800 kg/m3; total magnetic moment = 0.00 Bohr magnetons per cell
1.0
-2.085 3.205 3.813
2.085 -3.205 3.813
2.085 3.205 -3.813
Ba Si Ru
1 2 1
Direct
0.000 0.000 0.000 Ba
0.347 0.847 0.500 Si
0.653 0.153 0.500 Si
0.500 0.500 0.000 Ru


GGA-PBE Rb2MgAuCl6, relaxed; formation energy from raw total energies = -1.29 eV per atom; calculated density = 3774 kg/m3; total magnetic moment = 0.00 Bohr magnetons per cell
1.0
-3.825 3.825 4.547
3.825 -3.825 4.547
3.825 3.825 -4.547
Rb Mg Au Cl
2 1 1 6
Direct
0.250 0.750 0.500 Rb
0.750 0.250 0.500 Rb
0.000 0.000 0.000 Mg
0.500 0.500 0.000 Au
0.236 0.236 0.472 Cl
0.236 0.764 0.000 Cl
0.252 0.252 0.000 Cl
0.748 0.748 0.000 Cl
0.764 0.236 0.000 Cl
0.764 0.764 0.528 Cl


GGA-PBE PmSm6Tl4, relaxed; calculated density = 8236 kg/m3; formation enthalpy at 0 K = -0.68 eV per formula unit; total magnetic moment = 0.00 Bohr magnetons per cell
1.0
-3.969 3.969 5.965
3.969 -3.969 5.965
3.969 3.969 -5.965
Pm Sm Tl
1 6 4
Direct
0.000 0.000 0.000 Pm
0.000 0.500 0.500 Sm
0.099 0.099 0.626 Sm
0.472 0.472 0.374 Sm
0.500 0.000 0.500 Sm
0.528 0.901 0.000 Sm
0.901 0.528 0.000 Sm
0.262 0.599 0.000 Tl
0.401 0.401 0.662 Tl
0.599 0.262 0.000 Tl
0.738 0.738 0.338 Tl


GGA-PBE CaBi2P2Pd7, relaxed; calculated density = 8875 kg/m3; formation enthalpy at 0 K = -5.76 eV per formula unit; total magnetic moment = 0.00 Bohr magnetons per cell
1.0
2.998 -3.445 0.000
2.998 3.445 0.000
-0.937 0.000 11.457
Ca Bi P Pd
1 2 2 7
Direct
0.000 0.000 0.000 Ca
0.141 0.141 0.380 Bi
0.859 0.859 0.620 Bi
0.326 0.326 0.811 P
0.674 0.674 0.189 P
0.153 0.568 0.208 Pd
0.368 0.368 0.606 Pd
0.432 0.847 0.792 Pd
0.500 0.500 0.000 Pd
0.568 0.153 0.208 Pd
0.632 0.632 0.394 Pd
0.847 0.432 0.792 Pd


GGA-PBE CdAg3Pt, relaxed; calculated density = 11594 kg/m3; formation enthalpy at 0 K = 0.03 eV per formula unit; total magnetic moment = 0.00 Bohr magnetons per cell; offset from the most stable computed form = 0.00 eV per formula unit
1.0
4.342 0.000 0.000
0.000 5.740 0.000
-2.152 0.000 7.254
Cd Ag Pt
2 6 2
Direct
0.193 0.250 0.383 Cd
0.807 0.750 0.617 Cd
0.190 0.750 0.381 Ag
0.401 0.002 0.804 Ag
0.401 0.498 0.804 Ag
0.599 0.502 0.196 Ag
0.599 0.998 0.196 Ag
0.810 0.250 0.619 Ag
0.001 0.250 0.003 Pt
0.999 0.750 0.997 Pt


GGA-PBE Ca5HgGe2, relaxed; calculated density = 3904 kg/m3; formation enthalpy at 0 K = -4.54 eV per formula unit; total magnetic moment = 0.00 Bohr magnetons per cell
1.0
-3.895 3.895 7.656
3.895 -3.895 7.656
3.895 3.895 -7.656
Ca Hg Ge
10 2 4
Direct
0.000 0.000 0.000 Ca
0.034 0.534 0.846 Ca
0.188 0.034 0.500 Ca
0.312 0.812 0.846 Ca
0.466 0.312 0.500 Ca
0.500 0.500 0.000 Ca
0.534 0.688 0.500 Ca
0.688 0.188 0.154 Ca
0.812 0.966 0.500 Ca
0.966 0.466 0.154 Ca
0.250 0.250 0.000 Hg
0.750 0.750 0.000 Hg
0.118 0.382 0.500 Ge
0.382 0.882 0.264 Ge
0.618 0.118 0.736 Ge
0.882 0.618 0.500 Ge


GGA-PBE Mn2CuPb, relaxed; calculated density = 8690 kg/m3; formation enthalpy at 0 K = 2.29 eV per formula unit; total magnetic moment = 7.48 Bohr magnetons per cell
1.0
1.536 0.887 8.895
-1.536 0.887 8.895
0.000 -1.774 8.895
Mn Cu Pb
2 1 1
Direct
0.000 0.000 0.000 Mn
0.256 0.256 0.256 Mn
0.518 0.518 0.518 Cu
0.762 0.762 0.762 Pb


GGA-PBE SrGe2Au10, relaxed; calculated density = 13940 kg/m3; formation enthalpy at 0 K = -2.01 eV per formula unit; total magnetic moment = 0.00 Bohr magnetons per cell
1.0
0.000 6.379 6.832
3.010 0.000 6.832
3.010 6.379 0.000
Sr Ge Au
1 2 10
Direct
0.000 0.000 0.000 Sr
0.000 0.500 0.000 Ge
0.500 0.000 0.500 Ge
0.000 0.000 0.500 Au
0.004 0.340 0.660 Au
0.279 0.498 0.502 Au
0.340 0.004 0.996 Au
0.498 0.279 0.721 Au
0.500 0.500 0.000 Au
0.502 0.721 0.279 Au
0.660 0.996 0.004 Au
0.721 0.502 0.498 Au
0.996 0.660 0.340 Au


GGA-PBE CaBeZnHS, relaxed; calculated density = 3108 kg/m3; total magnetic moment = 0.00 Bohr magnetons per cell; offset from the most stable computed form = 0.29 eV per formula unit
1.0
5.461 -1.932 0.000
5.461 1.932 0.000
-1.434 0.000 3.737
Ca Be Zn H S
1 1 1 1 1
Direct
0.000 0.000 0.000 Ca
0.377 0.377 0.315 Be
0.753 0.753 0.300 Zn
0.378 0.378 0.956 H
0.583 0.583 0.605 S


GGA-PBE Sm3Ga4Au4, relaxed; calculated density = 10705 kg/m3; formation enthalpy at 0 K = -7.55 eV per formula unit; total magnetic moment = 0.00 Bohr magnetons per cell; offset from the most stable computed form = 0.11 eV per formula unit
1.0
-1.887 2.293 13.605
1.887 -2.293 13.605
1.887 2.293 -13.605
Sm Ga Au
3 4 4
Direct
0.000 0.000 0.000 Sm
0.356 0.856 0.500 Sm
0.644 0.144 0.500 Sm
0.189 0.689 0.500 Ga
0.453 0.453 0.000 Ga
0.547 0.547 0.000 Ga
0.811 0.311 0.500 Ga
0.094 0.594 0.500 Au
0.262 0.262 0.000 Au
0.738 0.738 0.000 Au
0.906 0.406 0.500 Au


GGA-PBE CsNaCr2Br8, relaxed; formation energy from raw total energies = -0.93 eV per atom; calculated density = 3392 kg/m3; total magnetic moment = 6.00 Bohr magnetons per cell
1.0
3.553 2.051 10.065
-3.553 2.051 10.065
0.000 -4.102 10.065
Cs Na Cr Br
1 1 2 8
Direct
0.000 0.000 0.000 Cs
0.500 0.500 0.500 Na
0.247 0.247 0.247 Cr
0.753 0.753 0.753 Cr
0.093 0.442 0.782 Br
0.218 0.907 0.558 Br
0.324 0.324 0.324 Br
0.442 0.782 0.093 Br
0.558 0.218 0.907 Br
0.676 0.676 0.676 Br
0.782 0.093 0.442 Br
0.907 0.558 0.218 Br


GGA-PBE PmZnNi2, relaxed; calculated density = 8292 kg/m3; formation enthalpy at 0 K = -0.68 eV per formula unit; total magnetic moment = 0.00 Bohr magnetons per cell
1.0
3.249 0.000 0.000
0.000 3.249 0.000
0.000 0.000 6.220
Pm Zn Ni
1 1 2
Direct
0.000 0.000 0.000 Pm
0.000 0.000 0.500 Zn
0.500 0.500 0.303 Ni
0.500 0.500 0.697 Ni


GGA-PBE K2MgSe2O6, relaxed; formation energy from raw total energies = -1.50 eV per atom; calculated density = 2619 kg/m3; total magnetic moment = 0.00 Bohr magnetons per cell
1.0
2.868 1.656 7.932
-2.868 1.656 7.932
0.000 -3.312 7.932
K Mg Se O
2 1 2 6
Direct
0.221 0.221 0.221 K
0.779 0.779 0.779 K
0.500 0.500 0.500 Mg
0.084 0.084 0.084 Se
0.916 0.916 0.916 Se
0.200 0.728 0.728 O
0.272 0.272 0.800 O
0.272 0.800 0.272 O
0.728 0.200 0.728 O
0.728 0.728 0.200 O
0.800 0.272 0.272 O


GGA-PBE NbSeOF7, relaxed; formation energy from raw total energies = -2.37 eV per atom; calculated density = 3159 kg/m3; total magnetic moment = 0.43 Bohr magnetons per cell
1.0
11.438 0.000 0.000
0.000 8.079 0.000
0.000 0.000 7.302
Nb Se O F
4 4 4 28
Direct
0.150 0.250 0.201 Nb
0.350 0.750 0.701 Nb
0.650 0.250 0.299 Nb
0.850 0.750 0.799 Nb
0.003 0.750 0.235 Se
0.497 0.250 0.735 Se
0.503 0.750 0.265 Se
0.997 0.250 0.765 Se
0.017 0.250 0.988 O
0.483 0.750 0.488 O
0.517 0.250 0.512 O
0.983 0.750 0.012 O
0.017 0.250 0.361 F
0.095 0.093 0.699 F
0.095 0.407 0.699 F
0.138 0.011 0.191 F
0.138 0.489 0.191 F
0.235 0.750 0.885 F
0.243 0.750 0.500 F
0.257 0.250 0.000 F
0.265 0.250 0.385 F
0.362 0.511 0.691 F
0.362 0.989 0.691 F
0.405 0.593 0.199 F
0.405 0.907 0.199 F
0.483 0.750 0.861 F
0.517 0.250 0.139 F
0.595 0.093 0.801 F
0.595 0.407 0.801 F
0.638 0.011 0.309 F
0.638 0.489 0.309 F
0.735 0.750 0.615 F
0.743 0.750 0.000 F
0.757 0.250 0.500 F
0.765 0.250 0.115 F
0.862 0.511 0.809 F
0.862 0.989 0.809 F
0.905 0.593 0.301 F
0.905 0.907 0.301 F
0.983 0.750 0.639 F


GGA-PBE DyTm2ZrP4, relaxed; calculated density = 7074 kg/m3; formation enthalpy at 0 K = -12.38 eV per formula unit; total magnetic moment = 0.00 Bohr magnetons per cell
1.0
6.754 0.000 0.000
0.000 3.898 0.000
-2.233 0.000 6.380
Dy Tm Zr P
1 2 1 4
Direct
0.000 0.000 0.000 Dy
0.500 0.000 0.500 Tm
0.500 0.500 0.000 Tm
0.000 0.500 0.500 Zr
0.243 0.000 0.741 P
0.248 0.500 0.257 P
0.752 0.500 0.743 P
0.757 0.000 0.259 P